(1)
! PBE-GGA K2CO3, relaxed; values from VASP
&SYSTEM
  ibrav = 0, nat = 12, ntyp = 3
/
ATOMIC_SPECIES
K 39.10 K.upf
C 12.01 C.upf
O 16.00 O.upf
CELL_PARAMETERS angstrom
2.848 -5.051 0.000
2.848 5.051 0.000
-1.119 0.000 6.900
ATOMIC_POSITIONS crystal
K 0.000 0.000 0.000
K 0.000 0.000 0.500
K 0.335 0.665 0.750
K 0.665 0.335 0.250
C 0.332 0.668 0.250
C 0.668 0.332 0.750
O 0.203 0.797 0.250
O 0.219 0.426 0.303
O 0.426 0.219 0.803
O 0.574 0.781 0.197
O 0.781 0.574 0.697
O 0.797 0.203 0.750
! Electronic total energy, eV/cell: -73.81
! Space group: C2/c (15)
! DOS(E_F), states/eV/cell: 0.00

(2)
! PBE-GGA K4CO4, relaxed; values from VASP
&SYSTEM
  ibrav = 0, nat = 9, ntyp = 3
/
ATOMIC_SPECIES
K 39.10 K.upf
C 12.01 C.upf
O 16.00 O.upf
CELL_PARAMETERS angstrom
4.999 -2.972 0.000
4.999 2.972 0.000
-2.740 0.000 5.515
ATOMIC_POSITIONS crystal
K 0.133 0.133 0.369
K 0.368 0.295 0.955
K 0.705 0.632 0.045
K 0.867 0.867 0.631
C 0.423 0.577 0.500
O 0.169 0.607 0.319
O 0.393 0.831 0.681
O 0.491 0.372 0.613
O 0.628 0.509 0.387
! Relative energy among the computed polymorphs, eV/atom: 0.016
! Space group: C2 (5)

(3)
! PBE-GGA K3CO5, relaxed; values from VASP
&SYSTEM
  ibrav = 0, nat = 18, ntyp = 3
/
ATOMIC_SPECIES
K 39.10 K.upf
C 12.01 C.upf
O 16.00 O.upf
CELL_PARAMETERS angstrom
-3.668 3.668 5.510
3.668 -3.668 5.510
3.668 3.668 -5.510
ATOMIC_POSITIONS crystal
K 0.195 0.695 0.890
K 0.250 0.250 0.000
K 0.305 0.195 0.500
K 0.695 0.805 0.500
K 0.750 0.750 0.000
K 0.805 0.305 0.110
C 0.250 0.750 0.500
C 0.750 0.250 0.500
O 0.000 0.000 0.000
O 0.068 0.776 0.500
O 0.224 0.724 0.292
O 0.276 0.568 0.500
O 0.432 0.932 0.708
O 0.500 0.500 0.000
O 0.568 0.068 0.292
O 0.724 0.432 0.500
O 0.776 0.276 0.708
O 0.932 0.224 0.500
! Electronic total energy, eV/cell: -94.28
! Space group: I4/mcm (140)
! DOS(E_F), states/eV/cell: 11.32

(4)
! PBE-GGA K2CO, relaxed; values from VASP
&SYSTEM
  ibrav = 0, nat = 4, ntyp = 3
/
ATOMIC_SPECIES
K 39.10 K.upf
C 12.01 C.upf
O 16.00 O.upf
CELL_PARAMETERS angstrom
0.000 3.445 3.445
3.445 0.000 3.445
3.445 3.445 0.000
ATOMIC_POSITIONS crystal
K 0.250 0.250 0.250
K 0.750 0.750 0.750
C 0.000 0.000 0.000
O 0.500 0.500 0.500
! Relative energy among the computed polymorphs, eV/atom: 0.244
! Space group: Fm-3m (225)
! DOS(E_F), states/eV/cell: 6.52